The following is a DFT calculation (GGA-PBE) of crystalline Y3FeC3 at its relaxed geometry.

**Space-group type**: No. 63
**Energy of formation**: -1.82 eV/f.u.

Structure (POSCAR):
```
Y3FeC3
1.0
5.0808 0.0000 0.0000
0.0000 6.5473 -1.2710
0.0000 -0.0247 6.6739
Y Fe C
6 2 6
Direct
0.7500 0.5911 0.8337
0.7500 0.1073 0.8926
0.7500 0.1667 0.4088
0.2500 0.4089 0.1663
0.2500 0.8927 0.1074
0.2500 0.8333 0.5912
0.2500 0.3015 0.6986
0.7500 0.6985 0.3014
0.2500 0.5670 0.8267
0.2500 0.1246 0.8752
0.2500 0.1738 0.4334
0.7500 0.4330 0.1733
0.7500 0.8754 0.1248
0.7500 0.8262 0.5666
```

The following is a DFT calculation (GGA-PBE) of crystalline SrCuNi2 at its relaxed geometry.

**Space-group type**: No. 99
**Relative energy among the computed polymorphs**: 1.41 eV per formula unit
**Energy of formation**: 1.13 eV/f.u.

Structure (POSCAR):
```
SrCuNi2
1.0
3.1818 0.0000 0.0000
0.0000 3.1732 0.0000
0.0000 0.0000 6.7028
Cu Ni Sr
1 2 1
Direct
0.5000 0.5000 0.8222
0.0000 0.0000 0.0134
0.5000 0.5000 0.1732
0.0000 0.0000 0.4912
```

The following is a DFT calculation (GGA-PBE) of crystalline Mg2AsPb at its relaxed geometry.

**Space-group type**: No. 47
**Relative energy among the computed polymorphs**: 0.22 eV per formula unit
**Energy of formation**: -0.67 eV/f.u.

Structure (POSCAR):
```
Mg2AsPb
1.0
3.6096 0.0000 0.0000
0.0000 3.2493 0.0000
0.0000 0.0000 7.8615
Pb As Mg
1 1 2
Direct
0.5000 0.5000 0.2500
0.5000 0.5000 0.7500
0.0000 0.0000 0.9517
0.0000 0.0000 0.5483
```

The following is a DFT calculation (GGA-PBE) of crystalline AlTcRu2 at its relaxed geometry.

**Space-group type**: No. 12
**Relative energy among the computed polymorphs**: 0.73 eV per formula unit
**Energy of formation**: -0.49 eV/f.u.

Structure (POSCAR):
```
AlTcRu2
1.0
4.6737 0.0009 0.0064
3.8603 2.6346 0.0064
0.8145 0.2515 4.6082
Ru Tc Al
2 1 1
Direct
0.0026 0.0026 0.9995
0.4974 0.4974 0.5005
0.7500 0.7500 0.7500
0.2500 0.2500 0.2500
```

The following is a DFT calculation (GGA-PBE) of crystalline Th2Si3Tc at its relaxed geometry.

**Raw formation energy**: -0.685 eV/atom
**Space-group type**: No. 69

Structure (POSCAR):
```
Th2Si3Tc
1.0
-3.6943 -3.9844 -2.2742
4.6350 -2.9277 -2.1540
-0.0714 -0.3799 8.2864
Th Si Tc
4 6 2
Direct
0.2500 0.7500 0.5000
0.7392 0.7392 0.0000
0.7500 0.2500 0.5000
0.2608 0.2608 0.0000
0.3281 0.8387 0.1668
0.1613 0.6719 0.8332
0.6719 0.1613 0.8332
0.8387 0.3281 0.1668
0.1672 0.1672 0.3344
0.8328 0.8328 0.6656
0.6646 0.6646 0.3292
0.3354 0.3354 0.6708
```

The following is a DFT calculation (GGA-PBE) of crystalline Na2FeCl4 at its relaxed geometry.

**Raw formation energy**: -1.295 eV/atom
**Space-group type**: No. 121
**Relative energy among the computed polymorphs**: 0.05 eV per formula unit

Structure (POSCAR):
```
Na2FeCl4
1.0
-5.1006 4.2714 -0.8166
-3.0407 -2.6031 5.3763
6.3709 2.4670 0.6194
Na Fe Cl
2 1 4
Direct
0.7500 0.2500 0.5000
0.2500 0.7500 0.5000
0.5000 0.5000 0.0000
0.8286 0.4138 0.2423
0.4138 0.8286 0.2423
0.5862 0.5862 0.7577
0.1714 0.1714 0.7577
```

The following is a DFT calculation (GGA-PBE) of crystalline OsPtN2 at its relaxed geometry.

**Raw formation energy**: 0.491 eV/atom
**Space-group type**: No. 166
**Relative energy among the computed polymorphs**: 0.00 eV per formula unit

Structure (POSCAR):
```
OsPtN2
1.0
1.1001 2.2392 6.2674
1.8236 -0.5024 6.4751
3.6936 1.3892 5.4711
Os Pt N
1 1 2
Direct
0.5000 0.5000 0.5000
0.0000 0.0000 0.0000
0.8984 0.8984 0.8984
0.1016 0.1016 0.1016
```

The following is a DFT calculation (GGA-PBE) of crystalline Tb2HgBr at its relaxed geometry.

**Raw formation energy**: -0.692 eV/atom
**Space-group type**: No. 166
**Relative energy among the computed polymorphs**: 0.12 eV per formula unit

Structure (POSCAR):
```
Tb2HgBr
1.0
-3.2724 -2.2181 -1.4807
0.1784 -4.2166 -0.0955
-3.8475 -2.4141 6.1016
Tb Hg Br
2 1 1
Direct
0.2524 0.2524 0.2428
0.7476 0.7476 0.7572
0.0000 0.0000 0.0000
0.5000 0.5000 0.5000
```

| no. | raw total energy (eV/atom) |
| --- | --- |
| 1 | -8.193 |
| 2 | -4.053 |
| 3 | -3.055 |
| 4 | -8.288 |
| 5 | -7.597 |
| 6 | -3.936 |
| 7 | -7.989 |
| 8 | -3.501 |